1.
Density functional theory data (PBE-GGA) for an optimized crystal structure of DyRe3Si3. Values from VASP.

Cell and atoms, written as Quantum ESPRESSO input:
```
&SYSTEM
  ibrav = 0, nat = 14, ntyp = 3
/
ATOMIC_SPECIES
Si 28.09 Si.upf
Re 186.21 Re.upf
Dy 162.50 Dy.upf
ATOMIC_POSITIONS crystal
Si 0.250 0.035 0.607
Si 0.250 0.700 0.972
Re 0.250 0.023 0.284
Re 0.750 0.977 0.716
Re 0.750 0.883 0.991
Re 0.750 0.251 0.296
Si 0.750 0.965 0.393
Si 0.750 0.608 0.533
Si 0.750 0.300 0.028
Si 0.250 0.392 0.467
Re 0.250 0.117 0.009
Re 0.250 0.749 0.704
Dy 0.750 0.403 0.746
Dy 0.250 0.597 0.254
CELL_PARAMETERS angstrom
-1.469 3.989 -0.182
0.701 -0.104 -7.938
-6.859 -2.354 3.753
```

***

2.
Density functional theory data (PBE-GGA) for an optimized crystal structure of DyReSi2Tc. Values from VASP.

Cell and atoms, written as Quantum ESPRESSO input:
```
&SYSTEM
  ibrav = 0, nat = 5, ntyp = 4
/
ATOMIC_SPECIES
Si 28.09 Si.upf
Dy 162.50 Dy.upf
Re 186.21 Re.upf
Tc 98.00 Tc.upf
ATOMIC_POSITIONS crystal
Si 0.621 0.621 0.242
Dy 0.000 0.000 0.000
Si 0.379 0.379 0.758
Re 0.250 0.750 0.500
Tc 0.750 0.250 0.500
CELL_PARAMETERS angstrom
4.113 0.000 0.000
0.000 4.113 0.000
-2.057 -2.057 5.091
```

***

3.
! PBE-GGA SmDy2Re, relaxed; values from VASP
! Calculated formation energy   3.206 eV per formula unit
&SYSTEM
  ibrav = 0, nat = 4, ntyp = 3
/
ATOMIC_SPECIES
Sm 150.36 Sm.upf
Dy 162.50 Dy.upf
Re 186.21 Re.upf
ATOMIC_POSITIONS crystal
Sm 0.500 0.500 0.500
Dy 0.078 0.078 0.765
Dy 0.922 0.922 0.235
Re 0.000 0.000 0.000
CELL_PARAMETERS angstrom
-0.260 0.046 -3.229
-0.031 -2.781 -1.663
-11.454 -1.330 -0.721

***

4.
! PBE-GGA SmDyRe4, relaxed; values from VASP
! Calculated formation energy   -0.616 eV per formula unit
&SYSTEM
  ibrav = 0, nat = 6, ntyp = 3
/
ATOMIC_SPECIES
Re 186.21 Re.upf
Sm 150.36 Sm.upf
Dy 162.50 Dy.upf
ATOMIC_POSITIONS crystal
Re 0.625 0.625 0.125
Re 0.625 0.125 0.625
Re 0.125 0.625 0.625
Sm 0.250 0.250 0.250
Re 0.625 0.625 0.625
Dy 0.000 0.000 0.000
CELL_PARAMETERS angstrom
-1.987 4.858 -1.461
-4.936 0.350 -2.280
-4.136 2.200 2.782

***

5.
! PBE-GGA SmDyRe, relaxed; values from VASP
! Calculated formation energy   0.451 eV per formula unit
&SYSTEM
  ibrav = 0, nat = 6, ntyp = 3
/
ATOMIC_SPECIES
Sm 150.36 Sm.upf
Re 186.21 Re.upf
Dy 162.50 Dy.upf
ATOMIC_POSITIONS crystal
Sm 0.076 0.087 0.174
Re 0.352 0.449 0.898
Re 0.648 0.551 0.102
Dy 0.830 0.710 0.420
Dy 0.170 0.290 0.580
Sm 0.924 0.913 0.826
CELL_PARAMETERS angstrom
3.430 0.000 0.733
0.000 5.261 0.000
1.682 -2.631 8.888

***

6.
! PBE-GGA TbDy2Re, relaxed; values from VASP
! Calculated formation energy   3.166 eV per formula unit
&SYSTEM
  ibrav = 0, nat = 4, ntyp = 3
/
ATOMIC_SPECIES
Dy 162.50 Dy.upf
Re 186.21 Re.upf
Tb 158.93 Tb.upf
ATOMIC_POSITIONS crystal
Dy 0.921 0.921 0.236
Dy 0.079 0.079 0.764
Re 0.000 0.000 0.000
Tb 0.500 0.500 0.500
CELL_PARAMETERS angstrom
-2.778 1.045 -1.260
-0.652 -0.516 -3.115
-6.062 -9.686 1.206

***

7.
! PBE-GGA TbDyRe4, relaxed; values from VASP
! Calculated formation energy   -0.982 eV per formula unit
&SYSTEM
  ibrav = 0, nat = 6, ntyp = 3
/
ATOMIC_SPECIES
Dy 162.50 Dy.upf
Tb 158.93 Tb.upf
Re 186.21 Re.upf
ATOMIC_POSITIONS crystal
Dy 0.250 0.250 0.250
Tb 0.000 0.000 0.000
Re 0.125 0.625 0.625
Re 0.625 0.125 0.625
Re 0.625 0.625 0.625
Re 0.625 0.625 0.125
CELL_PARAMETERS angstrom
-5.068 1.875 0.492
-2.784 -0.874 4.574
-1.052 4.124 3.366

***

8.
! PBE-GGA TbDyZnRe, relaxed; values from VASP
! Calculated formation energy   -0.089 eV per formula unit
&SYSTEM
  ibrav = 0, nat = 4, ntyp = 4
/
ATOMIC_SPECIES
Re 186.21 Re.upf
Zn 65.41 Zn.upf
Tb 158.93 Tb.upf
Dy 162.50 Dy.upf
ATOMIC_POSITIONS crystal
Re 0.250 0.250 0.250
Zn 0.750 0.750 0.750
Tb 0.500 0.500 0.500
Dy 0.000 0.000 0.000
CELL_PARAMETERS angstrom
-0.658 -3.605 3.301
3.186 -0.545 3.726
-1.381 1.096 4.607

***

9.
! PBE-GGA DyReTc, relaxed; values from VASP
! Calculated formation energy   0.611 eV per formula unit
&SYSTEM
  ibrav = 0, nat = 6, ntyp = 3
/
ATOMIC_SPECIES
Tc 98.00 Tc.upf
Dy 162.50 Dy.upf
Re 186.21 Re.upf
ATOMIC_POSITIONS crystal
Tc 0.500 0.500 0.500
Dy 0.751 0.362 0.113
Re 0.761 0.990 0.751
Re 0.239 0.010 0.249
Dy 0.249 0.638 0.887
Tc 0.000 0.000 0.500
CELL_PARAMETERS angstrom
-4.702 1.700 -1.026
0.086 -4.524 2.363
3.773 1.619 4.827

***

10.
! PBE-GGA Dy2Re3Tc, relaxed; values from VASP
! Calculated formation energy   -1.082 eV per formula unit
&SYSTEM
  ibrav = 0, nat = 6, ntyp = 3
/
ATOMIC_SPECIES
Re 186.21 Re.upf
Tc 98.00 Tc.upf
Dy 162.50 Dy.upf
ATOMIC_POSITIONS crystal
Re 0.500 0.500 0.500
Tc 0.000 0.000 0.000
Re 0.500 0.000 0.500
Dy 0.250 0.625 0.875
Dy 0.750 0.375 0.125
Re 0.000 0.000 0.500
CELL_PARAMETERS angstrom
4.744 -0.134 -2.482
-3.016 4.420 -0.240
-0.151 0.178 5.469

***

11.
! PBE-GGA DyReTc, relaxed; values from VASP
! Calculated formation energy   -0.590 eV per formula unit
&SYSTEM
  ibrav = 0, nat = 12, ntyp = 3
/
ATOMIC_SPECIES
Dy 162.50 Dy.upf
Re 186.21 Re.upf
Tc 98.00 Tc.upf
ATOMIC_POSITIONS crystal
Dy 0.666 0.334 0.312
Re 0.999 0.001 0.751
Tc 0.344 0.173 0.000
Tc 0.172 0.828 0.500
Re 0.659 0.828 0.500
Tc 0.827 0.656 0.000
Re 0.172 0.341 0.500
Dy 0.666 0.334 0.688
Tc 0.829 0.171 0.000
Dy 0.333 0.667 0.188
Re 0.999 0.001 0.249
Dy 0.333 0.667 0.812
CELL_PARAMETERS angstrom
5.451 -0.080 0.000
-2.711 4.730 0.000
0.000 0.000 8.736

***

12.
! PBE-GGA Dy2ReTc3, relaxed; values from VASP
! Calculated formation energy   -0.960 eV per formula unit
&SYSTEM
  ibrav = 0, nat = 6, ntyp = 3
/
ATOMIC_SPECIES
Re 186.21 Re.upf
Tc 98.00 Tc.upf
Dy 162.50 Dy.upf
ATOMIC_POSITIONS crystal
Re 0.000 0.000 0.000
Tc 0.500 0.500 0.500
Tc 0.000 0.000 0.500
Dy 0.748 0.374 0.122
Dy 0.252 0.626 0.878
Tc 0.500 0.000 0.500
CELL_PARAMETERS angstrom
-4.792 -1.287 -2.340
4.602 -2.506 -1.622
1.033 -1.359 5.052

***

13.
! PBE-GGA DyThZnRe, relaxed; values from VASP
! Calculated formation energy   -0.134 eV per formula unit
&SYSTEM
  ibrav = 0, nat = 4, ntyp = 4
/
ATOMIC_SPECIES
Dy 162.50 Dy.upf
Re 186.21 Re.upf
Th 232.04 Th.upf
Zn 65.41 Zn.upf
ATOMIC_POSITIONS crystal
Dy 0.250 0.250 0.250
Re 0.000 0.000 0.000
Th 0.750 0.750 0.750
Zn 0.500 0.500 0.500
CELL_PARAMETERS angstrom
5.035 0.000 0.000
2.517 4.360 0.000
2.517 1.453 4.111

***

14.
! PBE-GGA DyTi2Re, relaxed; values from VASP
! Calculated formation energy   -0.316 eV per formula unit
&SYSTEM
  ibrav = 0, nat = 4, ntyp = 3
/
ATOMIC_SPECIES
Re 186.21 Re.upf
Ti 47.87 Ti.upf
Dy 162.50 Dy.upf
ATOMIC_POSITIONS crystal
Re 0.500 0.500 0.000
Ti 0.000 0.000 0.813
Dy 0.500 0.500 0.500
Ti 0.000 0.000 0.187
CELL_PARAMETERS angstrom
-2.171 -0.270 -2.321
2.066 -1.701 -1.735
-2.616 -6.435 3.196

***

15.
! PBE-GGA Dy4TlRe, relaxed; values from VASP
! Calculated formation energy   -1.020 eV per formula unit
&SYSTEM
  ibrav = 0, nat = 12, ntyp = 3
/
ATOMIC_SPECIES
Dy 162.50 Dy.upf
Tl 204.38 Tl.upf
Re 186.21 Re.upf
ATOMIC_POSITIONS crystal
Dy 0.047 0.939 0.277
Dy 0.892 0.648 0.801
Dy 0.392 0.801 0.648
Tl 0.750 0.625 0.375
Dy 0.608 0.199 0.352
Re 0.750 0.000 0.000
Dy 0.953 0.061 0.723
Dy 0.108 0.352 0.199
Re 0.250 0.000 0.000
Dy 0.547 0.277 0.939
Tl 0.250 0.375 0.625
Dy 0.453 0.723 0.061
CELL_PARAMETERS angstrom
-1.299 -5.009 3.419
-1.640 -2.856 -7.141
7.733 0.500 1.338

***

16.
! PBE-GGA DyTmRe, relaxed; values from VASP
! Calculated formation energy   0.446 eV per formula unit
&SYSTEM
  ibrav = 0, nat = 6, ntyp = 3
/
ATOMIC_SPECIES
Dy 162.50 Dy.upf
Tm 168.93 Tm.upf
Re 186.21 Re.upf
ATOMIC_POSITIONS crystal
Dy 0.352 0.657 0.784
Dy 0.648 0.343 0.216
Tm 0.045 0.784 0.333
Re 0.706 0.864 0.020
Re 0.294 0.136 0.980
Tm 0.955 0.216 0.667
CELL_PARAMETERS angstrom
4.620 0.156 0.247
0.445 5.677 -0.475
1.905 1.243 5.897

***

17.
! PBE-GGA DyU2Re9, relaxed; values from VASP
! Calculated formation energy   0.436 eV per formula unit
&SYSTEM
  ibrav = 0, nat = 12, ntyp = 3
/
ATOMIC_SPECIES
Re 186.21 Re.upf
U 238.03 U.upf
Dy 162.50 Dy.upf
ATOMIC_POSITIONS crystal
Re 0.921 0.416 0.248
Re 0.416 0.921 0.248
Re 0.584 0.584 0.752
U 0.148 0.148 0.555
Re 0.416 0.416 0.248
Re 0.500 0.500 0.500
Re 0.079 0.584 0.752
Dy 0.000 0.000 0.000
Re 0.584 0.079 0.752
Re 0.665 0.665 0.005
Re 0.335 0.335 0.995
U 0.852 0.852 0.445
CELL_PARAMETERS angstrom
-4.425 1.759 2.162
-4.602 -2.008 -1.461
-2.324 -6.422 6.789

***

18.
! PBE-GGA DyURe2, relaxed; values from VASP
! Calculated formation energy   1.643 eV per formula unit
&SYSTEM
  ibrav = 0, nat = 4, ntyp = 3
/
ATOMIC_SPECIES
U 238.03 U.upf
Re 186.21 Re.upf
Dy 162.50 Dy.upf
ATOMIC_POSITIONS crystal
U 0.000 0.000 0.000
Re 0.261 0.261 0.216
Dy 0.500 0.500 0.500
Re 0.739 0.739 0.784
CELL_PARAMETERS angstrom
-1.705 2.919 -0.004
-2.167 0.688 -2.502
-7.441 -2.384 3.506

***

19.
! PBE-GGA Dy2YRe, relaxed; values from VASP
! Calculated formation energy   3.235 eV per formula unit
&SYSTEM
  ibrav = 0, nat = 4, ntyp = 3
/
ATOMIC_SPECIES
Re 186.21 Re.upf
Dy 162.50 Dy.upf
Y 88.91 Y.upf
ATOMIC_POSITIONS crystal
Re 0.000 0.000 0.000
Dy 0.079 0.079 0.764
Dy 0.921 0.921 0.236
Y 0.500 0.500 0.500
CELL_PARAMETERS angstrom
-2.588 -1.249 -1.480
0.369 -2.336 -2.204
-1.622 -9.030 6.928

***

20.
! PBE-GGA DyYRe4, relaxed; values from VASP
! Calculated formation energy   -1.053 eV per formula unit
&SYSTEM
  ibrav = 0, nat = 6, ntyp = 3
/
ATOMIC_SPECIES
Y 88.91 Y.upf
Re 186.21 Re.upf
Dy 162.50 Dy.upf
ATOMIC_POSITIONS crystal
Y 0.250 0.250 0.250
Re 0.625 0.625 0.625
Dy 0.000 0.000 0.000
Re 0.125 0.625 0.625
Re 0.625 0.125 0.625
Re 0.625 0.625 0.125
CELL_PARAMETERS angstrom
-3.218 -3.267 2.893
1.238 -1.158 5.150
-3.003 2.030 4.033

***

For reference, E_tot by record: -0.63422, -0.60252, -0.42565, -0.73167, -0.52228, -0.42477, -0.73507, -0.42342, -0.65671, -0.71045, -0.68613, -0.65793, -0.47551, -0.60924, -0.41946, -0.51635, -0.84998, -0.71924, -0.45719, -0.75840 Ry/atom.